This record from Alexandria via LeMat-Bulk describes a relaxed InRe2Mo crystal. The functional is GGA-PBEsol.

Cell: 2.788 4.191 5.543 Å, 90.00 96.63 90.00°
Fractional positions:
In 0.500 0.500 0.000
Mo 0.500 0.500 0.500
Re 0.917 0.000 0.728
Re 0.083 0.000 0.272

## Properties
- Space-group type: No. 10
- Energy of formation from the pure elements: 0.43 eV/atom
- Final energy: -0.7292 Ry/atom
- DOS(E_F): 3.23 states/eV/cell